VASP calculation (GGA-PBE) on TbZn after structural relaxation.

The space group is Amm2 (No. 38) and the conventional cell measures 4.891, 18.838 and 4.935 Å, with angles of 90.00, 90.00 and 90.00 degrees. The inequivalent atoms are Tb at (0.000, 0.000, 0.000), Tb at (0.000, 0.188, 0.001), Tb at (0.500, 0.173, 0.502), Zn at (0.000, 0.084, 0.500), Zn at (0.500, 0.000, 0.503) and Zn at (0.500, 0.084, 0.002).

VASP calculation (GGA-PBE) on TbZn after structural relaxation.

The space group is P-6m2 (No. 187) and the conventional cell measures 6.4793, 6.4793 and 5.1557 Å, with angles of 90.00, 90.00 and 120.00 degrees. The inequivalent atoms are Tb at (0.0000, 0.0000, 0.0000), Tb at (0.3417, 0.1709, 0.5000), Zn at (0.0166, 0.5083, 0.0000) and Zn at (0.3333, 0.6667, 0.5000).

Calculated values (eV/cell) of raw total energy for the records, taken in order: -63.39 -22.87.